PtAuI GGA-PBE optimized geometry; E_form (uncorrected) = 317.7 meV/atom
1.0
2.9678 0.0000 0.0000
-1.4839 6.9367 0.0000
0.0000 0.0000 7.2856
Pt Au I
2 2 2
Cartesian
0.0000 1.2481 0.0000
0.0000 4.1854 3.6428
1.4839 2.6889 5.4439
1.4839 2.6889 1.8417
1.4839 6.1550 1.8286
1.4839 6.1550 5.4570



Li3CoC GGA-PBE optimized geometry; distance to the lowest polymorph of the same formula = 921 meV/atom; E_form = 1.77 eV/atom
1.0
4.2923 0.0000 0.0000
0.0000 4.2923 0.0000
0.0000 0.0000 4.2923
C Co Li
1 1 3
Cartesian
2.1461 2.1461 2.1461
0.0000 0.0000 0.0000
0.0000 2.1461 0.0000
0.0000 0.0000 2.1461
2.1461 0.0000 0.0000



NaAcLa2 GGA-PBE optimized geometry; distance to the lowest polymorph of the same formula = 22 meV/atom; E_form = 0.12 eV/atom
1.0
3.7897 0.0000 0.0000
1.8948 3.2819 0.0000
1.8948 1.0940 12.7528
Na Ac La
1 1 2
Cartesian
5.6845 3.2819 12.7514
3.7897 2.1880 6.3776
1.8948 1.0940 9.5182
1.8948 1.0940 3.2348



PrAlPt GGA-PBE optimized geometry; E_form = -0.95 eV/atom
1.0
-3.2599 1.7933 2.2188
-2.3450 -3.6032 -0.5331
5.5913 -1.8451 5.4771
Pt Al Pr
2 2 2
Cartesian
-0.9490 -2.7325 5.0429
-0.7135 -2.2541 0.7735
0.2234 -3.1780 2.8967
0.0014 -0.0014 0.0032
2.3285 -2.2961 5.2767
-0.6959 -0.0244 3.2262



CeCdAsO5 GGA-PBE optimized geometry; E_form (uncorrected) = -1905.2 meV/atom
1.0
6.2327 0.5912 -0.0849
-1.2539 6.1338 -0.0849
-2.1660 -2.9258 7.3226
Ce Cd As O
2 2 2 10
Cartesian
-1.0830 -1.4629 3.6613
0.0000 0.0000 0.0000
0.6098 3.6217 1.7457
2.2029 0.1776 5.4070
3.0512 1.8143 1.7457
-0.2385 1.9850 5.4070
-1.1017 4.8888 1.7457
3.9145 -1.0895 5.4070
4.3093 1.8945 0.5631
-1.4966 1.9048 6.5897
3.3417 0.5875 2.9284
-0.5290 3.2118 4.2244
2.7733 3.3693 2.5010
0.0395 0.4300 4.6518
1.4828 1.6261 0.9905
1.3300 2.1732 6.1623



PmScTe GGA-PBE optimized geometry; E_form (uncorrected) = -753.1 meV/atom; distance to the lowest polymorph of the same formula = 177 meV/atom
1.0
-3.2164 -0.5466 1.9880
2.0268 -0.1625 3.2345
0.0399 5.8968 -1.9851
Sc Te Pm
1 1 1
Cartesian
-0.7470 1.1657 2.7830
-0.2903 2.8993 0.3276
-1.0956 4.6477 3.1764



LaAgBi2 GGA-PBE optimized geometry; E_form = -0.30 eV/atom
1.0
-4.5298 2.0715 2.2886
-3.5664 2.8283 -3.0543
-4.9003 -2.1502 -1.1881
Bi Ag La
2 1 1
Cartesian
-3.2491 0.6874 -0.4885
-9.7473 2.0623 -1.4654
0.0000 0.0000 0.0000
-6.4982 1.3749 -0.9769



MgTlPb2 GGA-PBE optimized geometry; E_form = 0.03 eV/atom
1.0
5.4837 0.0000 0.0000
2.7419 4.7490 0.0000
2.7419 1.5830 4.4774
Pb Tl Mg
2 1 1
Cartesian
0.0000 0.0000 0.0000
2.7419 1.5830 1.1194
8.2256 4.7490 3.3581
5.4837 3.1660 2.2387



NbCo2B2 GGA-PBE optimized geometry; E_form = -0.51 eV/atom
1.0
3.2154 0.0000 0.0000
-1.6077 4.7993 0.0000
0.0000 0.0000 6.3607
Nb Co B
2 4 4
Cartesian
0.0000 3.9831 2.2282
1.6077 0.8162 5.4086
0.0000 2.9589 6.1230
1.6077 1.8403 2.9427
0.0000 1.1171 1.2823
1.6077 3.6821 4.4626
0.0000 2.3430 4.1539
1.6077 2.4563 0.9735
1.6077 4.1428 0.2343
0.0000 0.6564 3.4147



RbPrTcO6 GGA-PBE optimized geometry; E_form (uncorrected) = -1711.7 meV/atom
1.0
-1.3836 5.6040 1.9335
-4.1481 3.9874 -2.4195
-2.6360 -3.1262 3.0670
Rb Pr Tc O
1 1 1 6
Cartesian
-5.5879 4.2044 1.9425
-5.8157 9.1273 -0.1427
-3.1195 1.8804 1.2811
-2.1479 0.9934 -0.2523
-2.3067 0.1430 1.6699
-3.7302 2.1720 2.9829
-4.7966 1.1695 0.8863
-3.5682 3.2883 0.1786
-1.5977 2.8816 1.7767



Al2ReRh GGA-PBE optimized geometry; distance to the lowest polymorph of the same formula = 757 meV/atom; E_form = 0.21 eV/atom
1.0
6.6905 0.0000 0.0000
0.0000 6.6905 0.0000
3.3453 3.3453 2.8043
Re Rh Al
2 2 4
Cartesian
0.0000 0.0000 0.0000
6.6905 3.3453 1.4021
3.3453 3.3453 0.0000
3.3453 6.6905 1.4021
4.9043 1.6726 0.7011
1.7862 5.0179 0.7011
5.0179 5.1315 2.1032
8.3632 8.2495 2.1032



TbCu3Ni GGA-PBE optimized geometry; distance to the lowest polymorph of the same formula = 308 meV/atom; E_form = 0.14 eV/atom
1.0
4.8489 0.0000 0.0000
0.0000 4.8489 0.0000
-2.4244 -2.4244 7.8562
Tb Cu Ni
2 6 2
Cartesian
2.4244 0.0000 1.1626
2.4244 0.0000 6.6935
1.1984 2.4244 5.8387
0.0000 3.6228 2.0175
0.0000 1.2260 2.0175
-1.1984 2.4244 5.8387
0.0000 0.0000 4.4957
2.4244 2.4244 3.3605
0.0000 0.0000 0.0000
0.0000 2.4244 3.9281